Entry 1:
Material: Sc4InGaO
Method: DFT, GGA-PBE
State: optimized geometry

Lattice parameters (Å, degrees): 6.064 6.071 8.115 90.00 111.94 90.00
Atoms (fractional coordinates):
Sc (0.921, 0.250, 0.841)
Sc (0.410, 0.750, 0.820)
Sc (0.079, 0.750, 0.159)
Sc (0.590, 0.250, 0.180)
Sc (0.500, 0.500, 0.500)
Sc (0.000, 0.000, 0.500)
Sc (0.500, 0.000, 0.500)
Sc (0.000, 0.500, 0.500)
In (0.607, 0.750, 0.213)
In (0.393, 0.250, 0.787)
Ga (0.115, 0.250, 0.230)
Ga (0.885, 0.750, 0.770)
O (0.251, 0.750, 0.503)
O (0.749, 0.250, 0.497)

Computed properties:
Formation energy (no corrections)   -1154 meV/atom
SG   Cmcm (63)
Theoretical density   4558 kg/m³

***

Entry 2:
Material: TaCrCu2
Method: DFT, GGA-PBE
State: optimized geometry

Lattice parameters (Å, degrees): 4.278 4.278 4.278 60.00 60.00 60.00
Atoms (fractional coordinates):
Cr (0.500, 0.500, 0.500)
Cu (0.000, 0.000, 0.000)
Cu (0.250, 0.250, 0.250)
Ta (0.750, 0.750, 0.750)

Computed properties:
SG   F-43m (216)
Theoretical density   10797 kg/m³
Distance to the lowest polymorph of the same formula   0.206 eV/atom

***

Entry 3:
Material: SnGe5I12
Method: DFT, GGA-PBE
State: optimized geometry

Lattice parameters (Å, degrees): 7.513 7.519 15.399 89.96 89.92 60.03
Atoms (fractional coordinates):
Sn (0.000, 0.000, 0.000)
Ge (0.500, 0.000, 0.500)
Ge (0.167, 0.667, 0.500)
Ge (0.833, 0.333, 0.500)
Ge (0.667, 0.667, 0.000)
Ge (0.333, 0.333, 0.000)
I (0.834, 0.000, 0.388)
I (0.166, 0.000, 0.612)
I (0.650, 0.000, 0.883)
I (0.350, 0.000, 0.117)
I (0.350, 0.650, 0.883)
I (0.000, 0.650, 0.117)
I (0.000, 0.350, 0.883)
I (0.650, 0.350, 0.117)
I (0.500, 0.333, 0.612)
I (0.833, 0.667, 0.612)
I (0.167, 0.333, 0.388)
I (0.500, 0.667, 0.388)

Computed properties:
Formation energy (no corrections)   -353 meV/atom
SG   C2/m (12)
Theoretical density   4417 kg/m³

***

Entry 4:
Material: Ag2Se
Method: DFT, GGA-PBE
State: optimized geometry

Lattice parameters (Å, degrees): 6.743 6.743 6.743 154.23 154.23 36.77
Atoms (fractional coordinates):
Ag (0.670, 0.670, 0.000)
Ag (0.330, 0.330, 0.000)
Se (0.000, 0.000, 0.000)

Computed properties:
Formation energy (no corrections)   133 meV/atom
SG   I4/mmm (139)
Theoretical density   8456 kg/m³